No. 1
First-principles (PBE-GGA) data for Ga2SbSe after structural relaxation, as listed in Alexandria via LeMat-Bulk.

Cell lengths 6.1789, 6.1789, 12.5047 Å; angles 90.00, 90.00, 90.00 degrees
Closest atoms and distances in Å follow each position.
Space group I-42d (No. 122)
Inequivalent atoms, fractional coordinates:
Ga 0.2390 0.2500 0.1250 x8  2 Se 2.65, 2 Sb 2.73
Sb 0.0000 0.0000 0.5000 x4  4 Ga 2.73
Se 0.0000 0.0000 0.0000 x4  4 Ga 2.65

Results
The total magnetic moment comes out at 0.0 μB/f.u. As for the polymorph energy (0 for the lowest one): 0 meV per atom. The value obtained for the uncorrected formation energy is -0.17 eV/atom.

No. 2
First-principles (PBE-GGA) data for GaSb3Se after structural relaxation, as listed in Alexandria via LeMat-Bulk.

Cell lengths 5.4620, 5.4620, 5.4620 Å; angles 90.00, 90.00, 90.00 degrees
Closest atoms and distances in Å follow each position.
Space group Pm-3m (No. 221)
Inequivalent atoms, fractional coordinates:
Ga 0.0000 0.0000 0.0000 x1  12 Sb 3.86
Sb 0.0000 0.5000 0.5000 x3  2 Se 2.73
Se 0.5000 0.5000 0.5000 x1  6 Sb 2.73

Results
The total magnetic moment comes out at 0.0 μB/f.u. As for the polymorph energy (0 for the lowest one): 0 meV per atom. The value obtained for the uncorrected formation energy is 0.62 eV/atom.

No. 3
First-principles (PBE-GGA) data for GaSbSe after structural relaxation, as listed in Alexandria via LeMat-Bulk.

Cell lengths 7.7496, 5.8554, 8.4811 Å; angles 90.00, 118.12, 90.00 degrees
Closest atoms and distances in Å follow each position.
Space group P2_1/c (No. 14)
Inequivalent atoms, fractional coordinates:
Ga 0.0156 0.1880 0.0915 x4  1 Se 2.45, 1 Ga 2.64, 1 Sb 2.69
Sb 0.2725 0.2022 0.9296 x4  1 Se 2.67, 2 Ga 2.69-2.90
Se 0.2863 0.5995 0.0892 x4  1 Ga 2.45, 1 Sb 2.67

Results
The total magnetic moment comes out at 0.0 μB/f.u. As for the polymorph energy (0 for the lowest one): 136 meV per atom. The value obtained for the uncorrected formation energy is -0.13 eV/atom.

> What is the formula in the second record?

GaSb3Se